Computed, not measured: crystalline Be2PF at its relaxed geometry at the PBEsol level of DFT.

```
Be2PF
1.0
0.000 2.744 2.744
2.744 0.000 2.744
2.744 2.744 0.000
Be P F
2 1 1
direct
0.250 0.250 0.250 Be
0.750 0.750 0.750 Be
0.000 0.000 0.000 P
0.500 0.500 0.500 F
```

SG: Fm-3m (225)
E_form (uncorrected) (eV/atom): -0.4081
Energy (eV for the cell shown): -17.35

Computed, not measured: crystalline AgSbI2Br at its relaxed geometry at the PBEsol level of DFT.

```
AgSbI2Br
1.0
5.832 0.000 0.000
0.000 5.832 0.000
0.000 0.000 5.512
Ag Sb I Br
1 1 2 1
direct
0.000 0.000 0.000 Ag
0.500 0.500 0.000 Sb
0.000 0.500 0.500 I
0.500 0.000 0.500 I
0.500 0.500 0.500 Br
```

Energy above the most stable polymorph in this dataset (eV per atom): 0.511
SG: P4/mmm (123)
E_form (uncorrected) (eV/atom): 0.8394
Energy (eV for the cell shown): -9.08

Computed, not measured: crystalline Ba2ZrTiZn at its relaxed geometry at the PBEsol level of DFT.

```
Ba2ZrTiZn
1.0
5.803 0.000 0.000
0.000 5.803 0.000
0.000 0.000 4.904
Ba Zr Ti Zn
2 1 1 1
direct
0.000 0.500 0.000 Ba
0.500 0.000 0.000 Ba
0.000 0.000 0.500 Zr
0.500 0.500 0.000 Ti
0.500 0.500 0.500 Zn
```

Energy of formation from the pure elements (eV/f.u.): 5.93
SG: P4/mmm (123)
Energy (eV for the cell shown): -17.36

Computed, not measured: crystalline NbWI2 at its relaxed geometry at the PBEsol level of DFT.

```
NbWI2
1.0
0.000 3.365 3.365
3.365 0.000 3.365
3.365 3.365 0.000
Nb W I
1 1 2
direct
0.000 0.000 0.000 Nb
0.500 0.500 0.500 W
0.250 0.250 0.250 I
0.750 0.750 0.750 I
```

SG: Fm-3m (225)
E_form (uncorrected) (eV/atom): 0.9951
Energy (eV for the cell shown): -24.18

no.,magnetization (μB/atom)
1,0.00
2,0.25
3,0.70
4,0.00